(1)
18
Lattice="5.747 0.000 0.000 -2.873 10.739 0.000 0.000 0.000 9.820" Properties=species:S:1:pos:R:3 comment="Tb5PrDy2Th, relaxed, DFT PBE-GGA" density_kg_m3=8179 total_energy_ev_per_atom=-4.7903 ef_ev_per_atom=0.16 pbc="T T T"
Tb 0.000 5.887 3.154
Tb 0.000 8.603 0.402
Tb 0.000 10.049 7.264
Tb 2.873 10.431 5.103
Tb 2.873 4.852 8.064
Tb 0.000 6.539 6.997
Tb 0.000 0.309 0.193
Tb 2.873 2.136 5.312
Tb 2.873 0.691 2.353
Tb 2.873 4.200 2.087
Pr 2.873 6.657 5.100
Pr 0.000 4.083 0.190
Dy 2.873 8.020 2.104
Dy 0.000 2.507 3.287
Dy 0.000 2.719 7.014
Dy 2.873 8.232 8.197
Th 0.000 8.776 4.141
Th 2.873 1.964 9.051

(2)
4
Lattice="5.718 0.000 0.000 2.859 4.952 0.000 2.859 1.651 4.669" Properties=species:S:1:pos:R:3 comment="TbPrDyTh, relaxed, DFT PBE-GGA" density_kg_m3=8722 total_energy_ev_per_atom=-5.2104 ef_ev_per_atom=0.15 relative_energy_ev_per_atom=0.131 pbc="T T T"
Dy 0.000 0.000 0.000
Th 8.577 4.952 3.502
Pr 2.859 1.651 1.167
Tb 5.718 3.301 2.334

(3)
18
Lattice="8.906 0.000 0.000 0.000 8.906 0.000 -4.453 -4.453 7.603" Properties=species:S:1:pos:R:3 comment="TbPrDy5Th2, relaxed, DFT PBE-GGA" density_kg_m3=8682 total_energy_ev_per_atom=-4.9224 ef_ev_per_atom=0.33 pbc="T T T"
Dy 1.847 6.299 2.081
Dy 1.847 2.606 5.522
Dy -2.606 1.847 5.522
Dy 2.606 -1.847 5.522
Dy 0.000 0.000 0.000
Dy 4.453 4.453 0.000
Dy -1.847 -2.606 5.522
Dy 6.299 7.059 2.081
Dy 2.606 1.847 2.081
Dy 7.059 2.606 2.081
Tb 0.000 4.453 3.802
Tb 4.453 0.000 3.802
Th 7.851 5.507 0.000
Th 1.054 3.399 0.000
Th 5.507 1.054 0.000
Th 3.399 7.851 0.000
Pr 0.000 0.000 3.802
Pr 4.453 4.453 3.802

(4)
10
Lattice="-4.765 0.689 4.095 0.682 -8.060 2.150 4.255 2.668 4.502" Properties=species:S:1:pos:R:3 comment="TbPrDy2Th, relaxed, DFT PBE-GGA" density_kg_m3=8077 total_energy_ev_per_atom=-4.8523 ef_ev_per_atom=0.35 pbc="T T T"
Dy 1.274 -2.628 7.983
Dy -1.102 -2.075 2.764
Dy -0.128 -0.575 6.006
Dy 0.300 -4.129 4.741
Tb -2.761 -2.761 5.781
Tb 2.933 -1.942 4.966
Th -1.507 1.039 3.334
Th 0.996 2.319 5.263
Pr 2.127 1.334 2.251
Pr 0.000 0.000 0.000

(5)
10
Lattice="-6.019 -1.187 -2.686 -2.252 -2.056 5.956 -1.099 8.433 -1.264" Properties=species:S:1:pos:R:3 comment="TbPrDyTh2, relaxed, DFT PBE-GGA" density_kg_m3=8669 total_energy_ev_per_atom=-5.3608 ef_ev_per_atom=0.41 pbc="T T T"
Th -1.675 -1.529 4.431
Th -0.577 -0.526 1.525
Th -3.586 -1.120 0.183
Th -4.685 -2.122 3.088
Pr -4.180 3.830 3.500
Pr -5.191 1.360 -1.493
Tb -2.762 3.888 0.297
Tb -6.608 1.303 1.710
Dy -6.063 4.265 -0.821
Dy -3.307 0.926 2.828

(6)
12
Lattice="3.645 0.000 0.000 0.000 10.903 0.649 0.000 -4.229 10.038" Properties=species:S:1:pos:R:3 comment="TbPr3DyTh, relaxed, DFT PBE-GGA" density_kg_m3=7929 total_energy_ev_per_atom=-5.1372 ef_ev_per_atom=0.03 pbc="T T T"
Tb 2.733 6.642 7.635
Tb 0.911 0.031 3.053
Pr 2.733 9.329 1.027
Pr 0.911 -2.656 9.661
Pr 0.911 4.982 5.007
Pr 2.733 3.223 2.323
Pr 0.911 3.451 8.364
Pr 2.733 1.692 5.680
Dy 2.733 0.353 8.995
Dy 0.911 6.321 1.692
Th 2.733 7.979 4.368
Th 0.911 -1.305 6.320